Here is a relaxed structure of NaMnTcO4 from Alexandria. Energies are from PBE+U.

Total moment, μB/atom: 0.894
D(E_F), states/eV/atom: 0.3334
Energy, hartree per atom: -0.25951
Crystal system: orthorhombic

Unit cell a=5.767 b=6.411 c=9.567 alpha=90.00 beta=90.00 gamma=90.00
Space group Imma (No. 74)
Symmetry-distinct sites (fractional):
Na1 0.000 0.250 0.122
Mn1 0.000 0.000 0.500
Tc1 0.250 0.250 0.750
O1 0.000 0.025 0.737
O2 0.230 0.250 0.545